No. 1
Computed, not measured: an optimized crystal structure of LiNp2US5 at the GGA-PBE level of DFT.

Summary:
For the magnetic moment, the calculation gives 7.227 μB per formula unit. The energy relative to the elements, uncorrected is -1321 meV per atom. The volume comes out at 20.3 A^3/atom.

The structure in extended XYZ format:
```
18
Lattice="-1.1321 0.8024 3.5805 7.7977 -2.7176 1.0155 3.9826 10.9786 -1.2012" Properties=species:S:1:pos:R:3 pbc="T T T"
S 3.3443 5.2631 1.9370
S 10.2670 6.2076 1.8552
Li 3.6117 10.9434 0.7485
Np 5.8611 0.6112 3.7754
Li 8.7847 2.9395 2.1189
U 2.9599 -0.8571 1.1280
S 0.5797 3.4033 1.4797
S 6.8051 5.9957 0.8080
Np 8.0286 7.4871 2.9198
Np 3.0408 2.7378 0.3479
S 3.1831 1.2487 2.7858
S 9.2868 9.2668 0.8596
U 5.7560 4.5943 2.8495
S 1.0131 0.5393 0.1995
S 5.5036 8.8423 1.8177
S 8.2052 4.5826 3.6266
S 5.9209 2.3616 1.3429
Np 4.2703 7.0279 -0.2248
```



No. 2
Computed, not measured: an optimized crystal structure of NdGeS3 at the GGA-PBE level of DFT.

Summary:
For the magnetic moment, the calculation gives 0.000 μB per formula unit. The energy relative to the elements, uncorrected is -1038 meV per atom. The volume comes out at 24.0 A^3/atom. As for the relative energy among the computed polymorphs: 0.59 eV/f.u.

The structure in extended XYZ format:
```
20
Lattice="6.7199 0.0000 0.0000 0.0000 7.8053 0.0000 0.0000 0.0000 9.1558" Properties=species:S:1:pos:R:3 pbc="T T T"
S 5.4759 1.3236 3.5810
Ge 4.0957 1.5565 5.4113
S 4.5326 5.1492 0.1340
S 4.7300 7.1415 6.4354
Ge 5.9842 5.4591 5.4113
S 2.1874 2.6561 4.7119
S 5.5473 1.2465 0.1340
Ge 0.7357 2.3462 0.8334
Nd 2.8706 4.8667 6.5120
Nd 6.2306 6.8413 1.9341
S 1.2441 6.4818 8.1589
S 2.1159 2.5791 8.1589
S 4.6041 5.2262 3.5810
S 5.3500 3.2388 6.4354
S 1.3700 4.5665 1.8575
Nd 0.4894 0.9640 6.5120
S 1.1726 6.5588 4.7119
S 1.9900 0.6638 1.8575
Nd 3.8493 2.9386 1.9341
Ge 2.6242 6.2488 0.8334
```



No. 3
Computed, not measured: an optimized crystal structure of CaMnN2 at the GGA-PBE level of DFT.

Summary:
For the magnetic moment, the calculation gives 1.759 μB per formula unit. The energy relative to the elements, uncorrected is 40 meV per atom. The volume comes out at 16.5 A^3/atom.

The structure in extended XYZ format:
```
4
Lattice="3.6674 -5.0908 0.2826 2.9051 -4.5696 -3.1820 5.4736 -2.6315 -1.6002" Properties=species:S:1:pos:R:3 pbc="T T T"
Ca 6.0231 -6.1460 -2.2498
Mn 0.0000 0.0000 0.0000
N 10.9003 -11.1228 -4.0716
N 1.1458 -1.1692 -0.4280
```



No. 4
Computed, not measured: an optimized crystal structure of Be2CrCu at the GGA-PBE level of DFT.

Summary:
For the magnetic moment, the calculation gives 0.000 μB per formula unit. The volume comes out at 9.8 A^3/atom. The value obtained for the total energy is -5.241 eV/atom.

The structure in extended XYZ format:
```
4
Lattice="3.8478 0.0000 0.0000 0.0000 3.8478 0.0000 0.0000 0.0000 2.6521" Properties=species:S:1:pos:R:3 pbc="T T T"
Be 1.9239 1.9239 0.0000
Cr 1.9239 0.0000 1.3261
Be 0.0000 0.0000 0.0000
Cu 0.0000 1.9239 1.3261
```



No. 5
Computed, not measured: an optimized crystal structure of Li2AgAu8 at the GGA-PBE level of DFT.

Summary:
For the magnetic moment, the calculation gives 0.000 μB per formula unit. The volume comes out at 17.3 A^3/atom. As for the relative energy among the computed polymorphs: 0.00 eV/f.u.

The structure in extended XYZ format:
```
11
Lattice="-1.0982 -0.0499 3.9378 -5.3486 -3.4712 -1.5356 5.7934 -4.9342 -0.5692" Properties=species:S:1:pos:R:3 pbc="T T T"
Au -1.9625 -2.6019 1.5421
Li 0.4550 -3.9696 2.1989
Au 2.7315 -5.4732 2.8148
Li -1.1084 -4.4857 -0.3659
Au -3.3849 -2.9821 -0.9818
Au 1.3092 -5.8534 0.2909
Au 2.8526 -3.4613 0.7517
Au -3.5060 -4.9940 1.0813
Au -1.0866 -6.3486 1.7389
Ag -0.5491 -0.0249 1.9689
Au 0.4332 -2.1067 0.0941
```



No. 6
Computed, not measured: an optimized crystal structure of TlGe6Pd12 at the GGA-PBE level of DFT.

Summary:
For the magnetic moment, the calculation gives 0.000 μB per formula unit. The volume comes out at 17.3 A^3/atom. The value obtained for the total energy is -5.265 eV/atom.

The structure in extended XYZ format:
```
19
Lattice="7.3095 -0.1461 -0.2058 -1.9535 7.0452 -0.2058 -1.9535 -2.5163 6.5837" Properties=species:S:1:pos:R:3 pbc="T T T"
Pd 1.9210 0.0654 2.6437
Ge 4.0532 1.0710 1.5082
Pd 1.7013 -1.3898 5.6290
Ge 3.3697 0.1906 4.6639
Pd -1.7682 4.8849 3.0861
Tl 0.0000 0.0000 0.0000
Pd 1.7013 5.7726 0.5431
Pd 5.1707 3.0791 0.5431
Ge 3.3697 4.3405 1.7171
Pd 1.9210 2.4744 0.9331
Ge -0.6507 3.3118 4.6639
Ge 0.0328 4.1922 1.5082
Pd 1.4815 4.3174 3.5284
Pd 1.4815 1.9084 5.2391
Pd -1.7682 1.3037 5.6290
Pd 5.1707 -0.5021 3.0861
Ge 0.0328 0.0423 4.4550
Pd 3.8154 2.5055 3.5284
Pd -0.4128 1.8773 2.6437
```